[1]
Below is a relaxed structure of NaHgOs2O, with properties calculated at the PBE level.

Values from the calculation:
Raw formation energy = 15.06 eV per formula unit
Fermi-level density of states = 1.00 states/eV/atom
Total magnetization = 6.7 Bohr magnetons per cell

a = 4.771 Å, b = 4.771 Å, c = 5.065 Å
α = 90.00°, β = 90.00°, γ = 90.00°
Positions (direct):
Na (0.000, 0.000, 0.000)
Hg (0.000, 0.000, 0.500)
Os (0.000, 0.500, 0.000)
Os (0.500, 0.000, 0.000)
O (0.500, 0.500, 0.500)

***

[2]
Below is a relaxed structure of Hg2Bi2Pb15, with properties calculated at the PBE level.

Values from the calculation:
Fermi-level density of states = 0.48 states/eV/atom
Total magnetization = 0.0 Bohr magnetons per cell
E_form = 0.121 eV/atom

a = 9.752 Å, b = 9.752 Å, c = 9.752 Å
α = 58.65°, β = 58.65°, γ = 58.65°
Positions (direct):
Hg (0.087, 0.087, 0.087)
Hg (0.913, 0.913, 0.913)
Bi (0.257, 0.257, 0.257)
Bi (0.743, 0.743, 0.743)
Pb (0.000, 0.000, 0.500)
Pb (0.000, 0.328, 0.672)
Pb (0.000, 0.500, 0.000)
Pb (0.000, 0.672, 0.328)
Pb (0.196, 0.570, 0.570)
Pb (0.328, 0.000, 0.672)
Pb (0.328, 0.672, 0.000)
Pb (0.430, 0.430, 0.804)
Pb (0.430, 0.804, 0.430)
Pb (0.500, 0.000, 0.000)
Pb (0.570, 0.196, 0.570)
Pb (0.570, 0.570, 0.196)
Pb (0.672, 0.000, 0.328)
Pb (0.672, 0.328, 0.000)
Pb (0.804, 0.430, 0.430)

***

[3]
Below is a relaxed structure of Sc2ZnIrI, with properties calculated at the PBE level.

Values from the calculation:
Raw formation energy = 3.76 eV per formula unit
Fermi-level density of states = 1.15 states/eV/atom
Total magnetization = 0.0 Bohr magnetons per cell

a = 5.239 Å, b = 5.239 Å, c = 4.883 Å
α = 90.00°, β = 90.00°, γ = 90.00°
Positions (direct):
Sc (0.000, 0.500, 0.000)
Sc (0.500, 0.000, 0.000)
Zn (0.000, 0.000, 0.500)
Ir (0.500, 0.500, 0.500)
I (0.500, 0.500, 0.000)